1) First-principles (PBE-GGA) data for an optimized crystal structure of Mg5ZnGa2, as listed in Alexandria via LeMat-Bulk.

Cell lengths 5.8838, 5.8838, 11.9851 Å; angles 90.00, 90.00, 127.45 degrees
Closest atoms and distances in Å follow each position.
Element x y z (fractional)
1 Mg 0.0533 0.9467 0.7500  1 Zn 2.90, 2 Ga 2.98, 6 Mg 3.14-3.23
2 Mg 0.1335 0.8665 0.0362  1 Zn 2.73, 3 Ga 2.80-2.96, 1 Mg 2.95
3 Mg 0.1335 0.8665 0.4638  1 Zn 2.73, 3 Ga 2.80-2.96, 1 Mg 2.95
4 Mg 0.4220 0.5780 0.1050  1 Zn 2.74, 1 Ga 2.89, 1 Mg 3.01
5 Mg 0.4220 0.5780 0.3950  1 Zn 2.74, 1 Ga 2.89, 1 Mg 3.01
6 Mg 0.5780 0.4220 0.6050  1 Zn 2.74, 1 Ga 2.89, 1 Mg 3.01
7 Mg 0.5780 0.4220 0.8950  1 Zn 2.74, 1 Ga 2.89, 1 Mg 3.01
8 Mg 0.8665 0.1335 0.5362  1 Zn 2.73, 3 Ga 2.80-2.96, 1 Mg 2.95
9 Mg 0.8665 0.1335 0.9638  1 Zn 2.73, 3 Ga 2.80-2.96, 1 Mg 2.95
10 Mg 0.9467 0.0533 0.2500  1 Zn 2.90, 2 Ga 2.98, 6 Mg 3.14-3.23
11 Zn 0.2215 0.7785 0.2500  5 Mg 2.73-2.90, 4 Ga 2.93
12 Zn 0.7785 0.2215 0.7500  5 Mg 2.73-2.90, 4 Ga 2.93
13 Ga 0.3073 0.6927 0.6408  1 Ga 2.62, 2 Mg 2.80-2.89, 2 Zn 2.93
14 Ga 0.3073 0.6927 0.8592  1 Ga 2.62, 2 Mg 2.80-2.89, 2 Zn 2.93
15 Ga 0.6927 0.3073 0.1408  1 Ga 2.62, 2 Mg 2.80-2.89, 2 Zn 2.93
16 Ga 0.6927 0.3073 0.3592  1 Ga 2.62, 2 Mg 2.80-2.89, 2 Zn 2.93

Calculated values
Total magnetic moment ... 0.000 μB per formula unit
SG ... No. 63

2) First-principles (PBE-GGA) data for an optimized crystal structure of Mg5ZnGa2, as listed in Alexandria via LeMat-Bulk.

Cell lengths 4.6477, 4.6477, 17.7846 Å; angles 90.00, 90.00, 120.00 degrees
Closest atoms and distances in Å follow each position.
Element x y z (fractional)
1 Mg 0.0000 0.0000 0.1574  3 Ga 2.84, 3 Mg 3.15, 3 Zn 3.15
2 Mg 0.0000 0.0000 0.3426  3 Ga 2.84, 3 Mg 3.15, 3 Zn 3.15
3 Mg 0.0000 0.0000 0.6574  3 Ga 2.84, 3 Zn 3.15, 3 Mg 3.15
4 Mg 0.0000 0.0000 0.8426  3 Ga 2.84, 3 Mg 3.15, 3 Zn 3.15
5 Mg 0.3333 0.6667 0.0511  4 Ga 2.79-2.85
6 Mg 0.3333 0.6667 0.2500  3 Zn 2.68
7 Mg 0.3333 0.6667 0.4489  4 Ga 2.79-2.85
8 Mg 0.6667 0.3333 0.5511  4 Ga 2.79-2.85
9 Mg 0.6667 0.3333 0.7500  3 Zn 2.68
10 Mg 0.6667 0.3333 0.9489  4 Ga 2.79-2.85
11 Zn 0.3333 0.6667 0.7500  2 Ga 2.57, 3 Mg 2.68
12 Zn 0.6667 0.3333 0.2500  2 Ga 2.57, 3 Mg 2.68
13 Ga 0.3333 0.6667 0.6057  1 Zn 2.57, 7 Mg 2.79-2.85
14 Ga 0.3333 0.6667 0.8943  1 Zn 2.57, 7 Mg 2.79-2.85
15 Ga 0.6667 0.3333 0.1057  1 Zn 2.57, 7 Mg 2.79-2.85
16 Ga 0.6667 0.3333 0.3943  1 Zn 2.57, 7 Mg 2.79-2.85

Calculated values
Total magnetic moment ... 0.000 μB per formula unit
SG ... No. 194

Most stable structure, least stable structure: 2), 1).

1) First-principles (PBE-GGA) data for an optimized crystal structure of Mg2ZrGa2, as listed in Alexandria via LeMat-Bulk.

Cell lengths 7.9233, 7.9233, 3.0517 Å; angles 90.00, 90.00, 90.00 degrees
Closest atoms and distances in Å follow each position.
Element x y z (fractional)
1 Mg 0.1255 0.3745 0.0000  6 Ga 2.71-2.85, 1 Mg 2.81
2 Mg 0.3745 0.8745 0.0000  6 Ga 2.71-2.85, 1 Mg 2.81
3 Mg 0.6255 0.1255 0.0000  6 Ga 2.71-2.85, 1 Mg 2.81
4 Mg 0.8745 0.6255 0.0000  6 Ga 2.71-2.85, 1 Mg 2.81
5 Zr 0.0000 0.0000 0.0000  2 Zr 3.05, 4 Mg 3.13, 8 Ga 3.30
6 Zr 0.5000 0.5000 0.0000  2 Zr 3.05, 4 Mg 3.13, 8 Ga 3.30
7 Ga 0.1746 0.6746 0.5000  6 Mg 2.71-2.85
8 Ga 0.3254 0.1746 0.5000  6 Mg 2.71-2.85
9 Ga 0.6746 0.8254 0.5000  6 Mg 2.71-2.85
10 Ga 0.8254 0.3254 0.5000  6 Mg 2.71-2.85

Calculated values
Total magnetic moment ... 0.000 μB per formula unit
SG ... No. 127

2) First-principles (PBE-GGA) data for an optimized crystal structure of Mg2ZrGa2, as listed in Alexandria via LeMat-Bulk.

Cell lengths 7.7871, 7.7871, 3.2208 Å; angles 90.00, 90.00, 90.00 degrees
Closest atoms and distances in Å follow each position.
Element x y z (fractional)
1 Mg 0.1571 0.3429 0.0000  6 Ga 2.73-2.84
2 Mg 0.3429 0.8429 0.0000  6 Ga 2.73-2.84
3 Mg 0.6571 0.1571 0.0000  6 Ga 2.73-2.84
4 Mg 0.8429 0.6571 0.0000  6 Ga 2.73-2.84
5 Zr 0.0000 0.0000 0.5000  4 Ga 3.00, 2 Zr 3.22, 8 Mg 3.35
6 Zr 0.5000 0.5000 0.5000  4 Ga 3.00, 2 Zr 3.22, 8 Mg 3.35
7 Ga 0.1428 0.6428 0.5000  6 Mg 2.73-2.84, 2 Zr 3.00
8 Ga 0.3572 0.1428 0.5000  6 Mg 2.73-2.84, 2 Zr 3.00
9 Ga 0.6428 0.8572 0.5000  6 Mg 2.73-2.84, 2 Zr 3.00
10 Ga 0.8572 0.3572 0.5000  6 Mg 2.73-2.84, 2 Zr 3.00

Calculated values
Total magnetic moment ... 0.000 μB per formula unit
SG ... No. 127

3) First-principles (PBE-GGA) data for an optimized crystal structure of Mg2ZrGa2, as listed in Alexandria via LeMat-Bulk.

Cell lengths 6.5933, 6.5933, 6.5933 Å; angles 144.23, 144.23, 51.49 degrees
Closest atoms and distances in Å follow each position.
Element x y z (fractional)
1 Mg 0.2500 0.7500 0.5000  4 Ga 2.70, 4 Mg 2.86
2 Mg 0.7500 0.2500 0.5000  4 Ga 2.70, 4 Mg 2.86
3 Zr 0.0000 0.0000 0.0000  8 Ga 3.10
4 Ga 0.4009 0.4009 0.0000  1 Ga 2.35
5 Ga 0.5991 0.5991 0.0000  1 Ga 2.35

Calculated values
Total magnetic moment ... 0.000 μB per formula unit
SG ... No. 139

Most stable structure, least stable structure: 2), 1).

1) First-principles (PBE-GGA) data for an optimized crystal structure of Mn4Ga, as listed in Alexandria via LeMat-Bulk.

Cell lengths 10.3302, 10.3302, 10.3302 Å; angles 14.20, 14.20, 14.20 degrees
Closest atoms and distances in Å follow each position.
Element x y z (fractional)
1 Mn 0.0963 0.0963 0.0963  9 Mn 2.40-2.55, 3 Ga 2.61
2 Mn 0.2990 0.2990 0.2990  12 Mn 2.40-2.57
3 Mn 0.7010 0.7010 0.7010  12 Mn 2.40-2.57
4 Mn 0.9037 0.9037 0.9037  9 Mn 2.40-2.55, 3 Ga 2.61
5 Ga 0.5000 0.5000 0.5000  6 Ga 2.55, 6 Mn 2.61

Calculated values
Total magnetic moment ... 0.215 μB per formula unit
SG ... No. 166

2) First-principles (PBE-GGA) data for an optimized crystal structure of Mn4Ga, as listed in Alexandria via LeMat-Bulk.

Cell lengths 4.5847, 4.5847, 4.5847 Å; angles 90.00, 90.00, 90.00 degrees
Closest atoms and distances in Å follow each position.
Element x y z (fractional)
1 Mn 0.0000 0.0000 0.0000  12 Mn 3.24
2 Mn 0.0000 0.5000 0.5000  2 Ga 2.29
3 Mn 0.5000 0.0000 0.5000  2 Ga 2.29
4 Mn 0.5000 0.5000 0.0000  2 Ga 2.29
5 Ga 0.5000 0.5000 0.5000  6 Mn 2.29

Calculated values
Total magnetic moment ... 14.986 μB per formula unit
SG ... No. 221

Most stable structure, least stable structure: 1), 2).

1) First-principles (PBE-GGA) data for an optimized crystal structure of Mn2Ga2Mo, as listed in Alexandria via LeMat-Bulk.

Cell lengths 7.2230, 7.2230, 2.6915 Å; angles 90.00, 90.00, 90.00 degrees
Closest atoms and distances in Å follow each position.
Element x y z (fractional)
1 Mn 0.1196 0.3804 0.0000  3 Mn 2.44-2.69, 6 Ga 2.48-2.56
2 Mn 0.3804 0.8804 0.0000  3 Mn 2.44-2.69, 6 Ga 2.48-2.56
3 Mn 0.6196 0.1196 0.0000  3 Mn 2.44-2.69, 6 Ga 2.48-2.56
4 Mn 0.8804 0.6196 0.0000  3 Mn 2.44-2.69, 6 Ga 2.48-2.56
5 Ga 0.1769 0.6769 0.5000  6 Mn 2.48-2.56, 2 Ga 2.69
6 Ga 0.3231 0.1769 0.5000  6 Mn 2.48-2.56, 2 Ga 2.69
7 Ga 0.6769 0.8231 0.5000  6 Mn 2.48-2.56, 2 Ga 2.69
8 Ga 0.8231 0.3231 0.5000  6 Mn 2.48-2.56, 2 Ga 2.69
9 Mo 0.0000 0.0000 0.0000  2 Mo 2.69, 4 Mn 2.88, 8 Ga 2.98
10 Mo 0.5000 0.5000 0.0000  2 Mo 2.69, 4 Mn 2.88, 8 Ga 2.98

Calculated values
Total magnetic moment ... 4.682 μB per formula unit
SG ... No. 127

2) First-principles (PBE-GGA) data for an optimized crystal structure of Mn2Ga2Mo, as listed in Alexandria via LeMat-Bulk.

Cell lengths 6.8718, 6.8718, 2.9166 Å; angles 90.00, 90.00, 90.00 degrees
Closest atoms and distances in Å follow each position.
Element x y z (fractional)
1 Mn 0.1624 0.3376 0.0000  6 Ga 2.45-2.52
2 Mn 0.3376 0.8376 0.0000  6 Ga 2.45-2.52
3 Mn 0.6624 0.1624 0.0000  6 Ga 2.45-2.52
4 Mn 0.8376 0.6624 0.0000  6 Ga 2.45-2.52
5 Ga 0.1355 0.6355 0.5000  6 Mn 2.45-2.52, 1 Ga 2.63, 2 Mo 2.67
6 Ga 0.3645 0.1355 0.5000  6 Mn 2.45-2.52, 1 Ga 2.63, 2 Mo 2.67
7 Ga 0.6355 0.8645 0.5000  6 Mn 2.45-2.52, 1 Ga 2.63, 2 Mo 2.67
8 Ga 0.8645 0.3645 0.5000  6 Mn 2.45-2.52, 1 Ga 2.63, 2 Mo 2.67
9 Mo 0.0000 0.0000 0.5000  4 Ga 2.67, 2 Mo 2.92, 8 Mn 2.96
10 Mo 0.5000 0.5000 0.5000  4 Ga 2.67, 2 Mo 2.92, 8 Mn 2.96

Calculated values
Total magnetic moment ... 0.000 μB per formula unit
SG ... No. 127

Most stable structure, least stable structure: 1), 2).